DFT (PBEsol) results for crystalline Tc2BPH at its relaxed geometry.

Results
Energy ... -34.4 eV per cell
Symmetry ... No. 123

abc: 4.3939 4.3939 2.9103
angles: 90.00 90.00 90.00
Last column: nearest neighbours and their distance in Å.
Element x y z (fractional)
Tc: 0.0000 0.5000 0.0000  2 P 2.20
Tc: 0.5000 0.0000 0.0000  2 P 2.20
B: 0.0000 0.0000 0.5000  8 Tc 2.64, 2 B 2.91
P: 0.5000 0.5000 0.0000  2 H 1.46
H: 0.5000 0.5000 0.5000  2 P 1.46